# 1
CeScAu: optimized geometry, PBE-GGA. Values from VASP.

```
&SYSTEM
  ibrav = 0, nat = 6, ntyp = 3
/
ATOMIC_SPECIES
Au 196.97 Au.upf
Ce 140.12 Ce.upf
Sc 44.96 Sc.upf
ATOMIC_POSITIONS angstrom
Au 2.3044 0.0000 5.1952
Au 0.0000 2.3044 2.0118
Ce 0.0000 2.3044 6.3233
Ce 2.3044 0.0000 0.8837
Sc 2.3044 2.3044 3.6035
Sc 0.0000 0.0000 3.6035
CELL_PARAMETERS angstrom
4.6089 0.0000 0.0000
0.0000 4.6089 0.0000
0.0000 0.0000 7.2069
```

Values from the calculation:
Crystal system: tetragonal
Final energy in eV/atom: -5.65
Space group: P4/nmm, No. 129

# 2
Pm2HoPu: optimized geometry, PBE-GGA. Values from VASP.

```
&SYSTEM
  ibrav = 0, nat = 4, ntyp = 3
/
ATOMIC_SPECIES
Ho 164.93 Ho.upf
Pm 145.00 Pm.upf
Pu 244.00 Pu.upf
ATOMIC_POSITIONS angstrom
Ho -4.1620 -2.5334 2.8708
Pm -0.9205 -1.3286 1.9051
Pm -2.8154 -4.0635 5.8267
Pu -2.2941 0.1626 -0.9950
CELL_PARAMETERS angstrom
-2.6992 2.2786 0.2848
-1.8889 -1.9533 -2.2749
-3.7359 -5.3921 7.7317
```

Values from the calculation:
Crystal system: tetragonal
Final energy in eV/atom: -6.99
Space group: P4/mmm, No. 123

# 3
CuPdIN2: optimized geometry, PBE-GGA. Values from VASP.

```
&SYSTEM
  ibrav = 0, nat = 5, ntyp = 4
/
ATOMIC_SPECIES
N 14.01 N.upf
Pd 106.42 Pd.upf
I 126.90 I.upf
Cu 63.55 Cu.upf
ATOMIC_POSITIONS angstrom
N -0.2868 -1.4596 -1.2004
N -0.8285 -0.9942 1.4067
Pd 0.0000 0.0000 0.0000
I 3.6598 -1.5760 1.0417
Cu 2.5445 -4.0297 1.2480
CELL_PARAMETERS angstrom
-1.6570 -1.9883 2.8135
-0.5737 -2.9192 -2.4009
7.3196 -3.1519 2.0833
```

Values from the calculation:
Formation energy from raw total energies in eV/atom: 1.38
Crystal system: tetragonal
Space group: P4/mmm, No. 123

no.,density of states at the Fermi level (states/eV/f.u.)
1,8.19
2,9.08
3,3.21